Re2Ir2C (GGA-PBE, optimized geometry); energy = -8.805 eV/atom; energy of formation from the pure elements = 1.563 eV per atom; E above lowest polymorph = 0.237 eV/atom
1.0
-1.589 0.727 -3.030
-3.114 -0.241 1.575
-2.134 6.473 0.654
Re C Ir
2 1 2
Direct
0.402 0.402 0.196 Re
0.598 0.598 0.804 Re
0.000 0.000 0.000 C
0.750 0.250 0.500 Ir
0.250 0.750 0.500 Ir